(1)
ErH4Ru | PBE | optimized geometry

a = 3.7249 Å, b = 3.7249 Å, c = 8.2868 Å
α = 90.00°, β = 90.00°, γ = 111.03°
Sites, in units of the cell vectors:
Er 0.0000 0.0000 0.0000
Er 0.0000 0.0000 0.5000
H 0.1447 0.3510 0.2500
H 0.3510 0.1447 0.7500
H 0.3522 0.6478 0.5452
H 0.3522 0.6478 0.9548
H 0.6478 0.3522 0.0452
H 0.6478 0.3522 0.4548
H 0.6490 0.8553 0.2500
H 0.8553 0.6490 0.7500
Ru 0.3494 0.6506 0.7500
Ru 0.6506 0.3494 0.2500

E above lowest polymorph = 7.8 meV per atom
crystal system = orthorhombic
SG = Cmcm

***

(2)
Zn12CuRh2 | PBE | optimized geometry

a = 4.9788 Å, b = 4.9788 Å, c = 18.5997 Å
α = 90.00°, β = 90.00°, γ = 90.00°
Sites, in units of the cell vectors:
Zn 0.0030 0.5030 0.0982
Zn 0.0030 0.9970 0.9018
Zn 0.0734 0.5734 0.5675
Zn 0.0734 0.9266 0.4325
Zn 0.2500 0.2500 0.2026
Zn 0.2500 0.2500 0.3306
Zn 0.2500 0.2500 0.6694
Zn 0.2500 0.2500 0.7974
Zn 0.4266 0.5734 0.4325
Zn 0.4266 0.9266 0.5675
Zn 0.4970 0.5030 0.9018
Zn 0.4970 0.9970 0.0982
Zn 0.5030 0.0030 0.9018
Zn 0.5030 0.4970 0.0982
Zn 0.5734 0.0734 0.4325
Zn 0.5734 0.4266 0.5675
Zn 0.7500 0.7500 0.2026
Zn 0.7500 0.7500 0.3306
Zn 0.7500 0.7500 0.6694
Zn 0.7500 0.7500 0.7974
Zn 0.9266 0.0734 0.5675
Zn 0.9266 0.4266 0.4325
Zn 0.9970 0.0030 0.0982
Zn 0.9970 0.4970 0.9018
Cu 0.2500 0.7500 0.0000
Cu 0.7500 0.2500 0.0000
Rh 0.2500 0.7500 0.2649
Rh 0.2500 0.7500 0.7351
Rh 0.7500 0.2500 0.2649
Rh 0.7500 0.2500 0.7351

crystal system = tetragonal
energy relative to the elements = 0.054 eV per atom
SG = P4/nbm

***

(3)
Pr3Tm | PBE | optimized geometry

a = 7.4093 Å, b = 7.4093 Å, c = 5.8949 Å
α = 90.00°, β = 90.00°, γ = 120.00°
Sites, in units of the cell vectors:
Pr 0.1682 0.3364 0.2500
Pr 0.1682 0.8318 0.2500
Pr 0.3364 0.1682 0.7500
Pr 0.6636 0.8318 0.2500
Pr 0.8318 0.1682 0.7500
Pr 0.8318 0.6636 0.7500
Tm 0.3333 0.6667 0.7500
Tm 0.6667 0.3333 0.2500

E above lowest polymorph = 13.9 meV per atom
crystal system = hexagonal
energy relative to the elements = 0.027 eV per atom
SG = P6_3/mmc

***

(4)
BeSi2Ru | PBE | optimized geometry

a = 3.0258 Å, b = 3.2560 Å, c = 4.9005 Å
α = 90.00°, β = 90.00°, γ = 90.00°
Sites, in units of the cell vectors:
Be 0.0000 0.0000 0.0000
Si 0.0000 0.0000 0.5123
Si 0.5000 0.5000 0.7831
Ru 0.5000 0.5000 0.2735

crystal system = orthorhombic
SG = Pmm2

***

(5)
LiMgH3 | PBE | optimized geometry

a = 3.3942 Å, b = 3.3942 Å, c = 3.3942 Å
α = 90.00°, β = 90.00°, γ = 90.00°
Sites, in units of the cell vectors:
Li 0.0000 0.0000 0.0000
Mg 0.5000 0.5000 0.5000
H 0.0000 0.0000 0.5000
H 0.0000 0.5000 0.0000
H 0.5000 0.0000 0.0000

E above lowest polymorph = 270.8 meV per atom
crystal system = cubic
SG = Pm-3m

***

(6)
LiLaTaNb2 | PBE | optimized geometry

a = 4.9171 Å, b = 4.9171 Å, c = 4.9756 Å
α = 90.00°, β = 90.00°, γ = 90.00°
Sites, in units of the cell vectors:
Li 0.0000 0.0000 0.0000
La 0.5000 0.5000 0.5000
Ta 0.5000 0.5000 0.0000
Nb 0.0000 0.5000 0.5000
Nb 0.5000 0.0000 0.5000

crystal system = tetragonal
energy relative to the elements = 1.836 eV per atom
SG = P4/mmm

***

(7)
CaAgW2 | PBE | optimized geometry

a = 3.5870 Å, b = 3.5870 Å, c = 6.6882 Å
α = 90.00°, β = 90.00°, γ = 90.00°
Sites, in units of the cell vectors:
Ca 0.0000 0.0000 0.0000
Ag 0.0000 0.0000 0.5000
W 0.5000 0.5000 0.3271
W 0.5000 0.5000 0.6729

E above lowest polymorph = 655.8 meV per atom
crystal system = tetragonal
energy relative to the elements = 1.139 eV per atom
SG = P4/mmm

***

(8)
Gd2PtO | PBE | optimized geometry

a = 7.0007 Å, b = 7.0007 Å, c = 7.0007 Å
α = 30.76°, β = 30.76°, γ = 30.76°
Sites, in units of the cell vectors:
Gd 0.2383 0.2383 0.2383
Gd 0.7617 0.7617 0.7617
Pt 0.0000 0.0000 0.0000
O 0.5000 0.5000 0.5000

crystal system = trigonal
SG = R-3m

***

(9)
YAgO3 | PBE | optimized geometry

a = 6.6792 Å, b = 7.1772 Å, c = 5.5913 Å
α = 90.00°, β = 90.00°, γ = 90.00°
Sites, in units of the cell vectors:
Y 0.0903 0.2500 0.0075
Y 0.4097 0.7500 0.5075
Y 0.5903 0.2500 0.4925
Y 0.9097 0.7500 0.9925
Ag 0.0000 0.0000 0.5000
Ag 0.0000 0.5000 0.5000
Ag 0.5000 0.0000 0.0000
Ag 0.5000 0.5000 0.0000
O 0.0855 0.7500 0.3505
O 0.1412 0.5520 0.8135
O 0.1412 0.9480 0.8135
O 0.3588 0.0520 0.3135
O 0.3588 0.4480 0.3135
O 0.4145 0.2500 0.8505
O 0.5855 0.7500 0.1495
O 0.6412 0.5520 0.6865
O 0.6412 0.9480 0.6865
O 0.8588 0.0520 0.1865
O 0.8588 0.4480 0.1865
O 0.9145 0.2500 0.6495

crystal system = orthorhombic
SG = Pnma

***

(10)
Tl2OsRu | PBE | optimized geometry

a = 6.0568 Å, b = 6.0568 Å, c = 6.0568 Å
α = 102.16°, β = 102.16°, γ = 125.35°
Sites, in units of the cell vectors:
Tl 0.1244 0.6250 0.9994
Tl 0.3750 0.3744 0.4994
Tl 0.6256 0.1250 0.0006
Tl 0.8750 0.8756 0.5006
Os 0.2500 0.7500 0.5000
Os 0.5000 0.5000 0.0000
Ru 0.0000 0.0000 0.0000
Ru 0.7500 0.2500 0.5000

E above lowest polymorph = 829.0 meV per atom
crystal system = tetragonal
energy relative to the elements = 1.324 eV per atom
SG = I-42d

***

(11)
Er6InHg2 | PBE | optimized geometry

a = 8.7064 Å, b = 8.7064 Å, c = 8.7064 Å
α = 111.27°, β = 110.06°, γ = 107.11°
Sites, in units of the cell vectors:
Er 0.0420 0.8226 0.2193
Er 0.2466 0.5462 0.2996
Er 0.2466 0.9470 0.7004
Er 0.2726 0.3192 0.5918
Er 0.2726 0.6808 0.9534
Er 0.3967 0.1774 0.2193
Er 0.6033 0.8226 0.7807
Er 0.7274 0.3192 0.0466
Er 0.7274 0.6808 0.4082
Er 0.7534 0.0530 0.2996
Er 0.7534 0.4538 0.7004
Er 0.9580 0.1774 0.7807
In 0.0000 0.5000 0.5000
In 0.5000 0.0000 0.5000
Hg 0.0000 0.1523 0.1523
Hg 0.0000 0.8477 0.8477
Hg 0.3624 0.3624 0.0000
Hg 0.6375 0.6375 0.0000

crystal system = orthorhombic
energy relative to the elements = -0.285 eV per atom
SG = Immm

***

(12)
NbCu2Pd9 | PBE | optimized geometry

a = 3.9356 Å, b = 3.9356 Å, c = 11.6894 Å
α = 90.00°, β = 90.00°, γ = 90.00°
Sites, in units of the cell vectors:
Nb 0.0000 0.0000 0.0000
Cu 0.0000 0.0000 0.3391
Cu 0.0000 0.0000 0.6609
Pd 0.0000 0.5000 0.1671
Pd 0.0000 0.5000 0.5000
Pd 0.0000 0.5000 0.8329
Pd 0.5000 0.0000 0.1671
Pd 0.5000 0.0000 0.5000
Pd 0.5000 0.0000 0.8329
Pd 0.5000 0.5000 0.0000
Pd 0.5000 0.5000 0.3334
Pd 0.5000 0.5000 0.6666

crystal system = tetragonal
energy relative to the elements = -0.197 eV per atom
SG = P4/mmm

***

(13)
RbNa2LiSi | PBE | optimized geometry

a = 5.6595 Å, b = 5.6595 Å, c = 5.1160 Å
α = 90.00°, β = 90.00°, γ = 90.00°
Sites, in units of the cell vectors:
Rb 0.0000 0.0000 0.0000
Na 0.0000 0.5000 0.5000
Na 0.5000 0.0000 0.5000
Li 0.5000 0.5000 0.0000
Si 0.5000 0.5000 0.5000

E above lowest polymorph = 0.0 meV per atom
crystal system = tetragonal
SG = P4/mmm

***

(14)
HgPd2Rh | PBE | optimized geometry

a = 3.3632 Å, b = 3.3632 Å, c = 5.8526 Å
α = 90.00°, β = 90.00°, γ = 90.00°
Sites, in units of the cell vectors:
Hg 0.0000 0.0000 0.0000
Pd 0.5000 0.5000 0.2674
Pd 0.5000 0.5000 0.7326
Rh 0.0000 0.0000 0.5000

crystal system = tetragonal
energy relative to the elements = 0.078 eV per atom
SG = P4/mmm

***

(15)
PrZn4Cu | PBE | optimized geometry

a = 5.3402 Å, b = 5.3402 Å, c = 5.3402 Å
α = 60.00°, β = 60.00°, γ = 60.00°
Sites, in units of the cell vectors:
Pr 0.0000 0.0000 0.0000
Zn 0.3757 0.3757 0.3757
Zn 0.3757 0.3757 0.8730
Zn 0.3757 0.8730 0.3757
Zn 0.8730 0.3757 0.3757
Cu 0.7500 0.7500 0.7500

E above lowest polymorph = 140.9 meV per atom
crystal system = cubic
energy relative to the elements = -0.076 eV per atom
SG = F-43m

***

(16)
KSn2Rh2 | PBE | optimized geometry

a = 6.3116 Å, b = 6.3116 Å, c = 6.3116 Å
α = 136.99°, β = 136.99°, γ = 62.45°
Sites, in units of the cell vectors:
K 0.0000 0.0000 0.0000
Sn 0.2500 0.7500 0.5000
Sn 0.7500 0.2500 0.5000
Rh 0.3796 0.3796 0.0000
Rh 0.6204 0.6204 0.0000

E above lowest polymorph = 151.2 meV per atom
crystal system = tetragonal
energy relative to the elements = -0.183 eV per atom
SG = I4/mmm

***

(17)
RbInTe | PBE | optimized geometry

a = 9.9522 Å, b = 9.9522 Å, c = 9.9522 Å
α = 152.90°, β = 143.48°, γ = 46.07°
Sites, in units of the cell vectors:
Rb 0.1620 0.1620 0.0000
Rb 0.8380 0.8380 0.0000
In 0.2366 0.5000 0.7366
In 0.7634 0.5000 0.2634
Te 0.3635 0.3635 0.0000
Te 0.6365 0.6365 0.0000

E above lowest polymorph = 225.3 meV per atom
crystal system = orthorhombic
SG = Immm

***

(18)
ZnOs2W | PBE | optimized geometry

a = 4.6473 Å, b = 4.6473 Å, c = 4.8523 Å
α = 98.76°, β = 98.76°, γ = 34.79°
Sites, in units of the cell vectors:
Zn 0.0000 0.0000 0.0000
Os 0.2459 0.2459 0.7576
Os 0.7541 0.7541 0.2424
W 0.5000 0.5000 0.5000

crystal system = monoclinic
energy relative to the elements = 0.220 eV per atom
SG = C2/m

***

(19)
BaErRu2O8 | PBE | optimized geometry

a = 5.8857 Å, b = 5.8857 Å, c = 7.5971 Å
α = 90.00°, β = 90.00°, γ = 120.00°
Sites, in units of the cell vectors:
Ba 0.0000 0.0000 0.0000
Er 0.0000 0.0000 0.5000
Ru 0.3333 0.6667 0.7669
Ru 0.6667 0.3333 0.2331
O 0.1620 0.3257 0.6939
O 0.1637 0.8380 0.6939
O 0.3257 0.1637 0.3061
O 0.3333 0.6667 0.0018
O 0.6667 0.3333 0.9982
O 0.6743 0.8363 0.6939
O 0.8363 0.1620 0.3061
O 0.8380 0.6743 0.3061

crystal system = trigonal
SG = P-3

***

(20)
HoMg2NpO8 | PBE | optimized geometry

a = 4.7568 Å, b = 6.8276 Å, c = 4.7784 Å
α = 90.00°, β = 90.54°, γ = 90.00°
Sites, in units of the cell vectors:
Ho 0.0000 0.0000 0.0000
Mg 0.5000 0.2638 0.5000
Mg 0.5000 0.7362 0.5000
Np 0.0000 0.5000 0.0000
O 0.2044 0.2701 0.8182
O 0.2044 0.7299 0.8182
O 0.2851 0.5000 0.3043
O 0.3164 0.0000 0.3623
O 0.6836 0.0000 0.6377
O 0.7149 0.5000 0.6957
O 0.7956 0.2701 0.1818
O 0.7956 0.7299 0.1818

crystal system = monoclinic
SG = P2/m

***

(21)
CoSe4Br | PBE | optimized geometry

a = 5.7133 Å, b = 5.7133 Å, c = 5.7133 Å
α = 60.00°, β = 60.00°, γ = 60.00°
Sites, in units of the cell vectors:
Co 0.0000 0.0000 0.0000
Se 0.1247 0.6251 0.6251
Se 0.6251 0.1247 0.6251
Se 0.6251 0.6251 0.1247
Se 0.6251 0.6251 0.6251
Br 0.2500 0.2500 0.2500

E above lowest polymorph = 853.4 meV per atom
crystal system = cubic
SG = F-43m

***

(22)
Ni5Br3 | PBE | optimized geometry

a = 6.0410 Å, b = 6.0410 Å, c = 3.3531 Å
α = 90.00°, β = 90.00°, γ = 100.08°
Sites, in units of the cell vectors:
Ni 0.0000 0.0000 0.0000
Ni 0.0000 0.5000 0.0000
Ni 0.2561 0.2561 0.5000
Ni 0.5000 0.0000 0.0000
Ni 0.7439 0.7439 0.5000
Br 0.1936 0.8064 0.5000
Br 0.5000 0.5000 0.0000
Br 0.8064 0.1936 0.5000

crystal system = orthorhombic
SG = Cmmm

***

(23)
TaTiBr3 | PBE | optimized geometry

a = 5.1553 Å, b = 5.1553 Å, c = 5.1553 Å
α = 90.00°, β = 90.00°, γ = 90.00°
Sites, in units of the cell vectors:
Ta 0.0000 0.0000 0.0000
Ti 0.5000 0.5000 0.5000
Br 0.0000 0.0000 0.5000
Br 0.0000 0.5000 0.0000
Br 0.5000 0.0000 0.0000

E above lowest polymorph = 144.3 meV per atom
crystal system = cubic
SG = Pm-3m

***

(24)
Re2Hg | PBE | optimized geometry

a = 5.4839 Å, b = 5.4839 Å, c = 6.9327 Å
α = 104.33°, β = 104.33°, γ = 30.45°
Sites, in units of the cell vectors:
Re 0.0223 0.0223 0.3318
Re 0.3126 0.3126 0.3895
Re 0.6874 0.6874 0.6105
Re 0.9777 0.9777 0.6682
Hg 0.3618 0.3618 0.9604
Hg 0.6382 0.6382 0.0396

E above lowest polymorph = 94.5 meV per atom
crystal system = monoclinic
energy relative to the elements = 0.495 eV per atom
SG = C2/m

***

In kg/m³, the theoretical density values for the records above are, in order, 8429 7594 7011 5718 1455 7076 9950 10967 6066 14441 9947 10802 1687 12952 7187 6931 4087 17714 4624 6191 5725 7349 5678 18633.
In eV per cell, the raw total energy values for the records above are, in order, -59.2 -66.6 -37.4 -24.7 -13.6 -29.7 -26.2 -46.4 -130.8 -39.9 -66.6 -67.4 -10.6 -17.7 -14.4 -24.7 -16.3 -35.8 -84.9 -89.4 -17.7 -29.5 -21.3 -47.4.